A relaxed Sm3Er2Ge4 crystal. Source: Alexandria, functional PBE-GGA.

Unit cell a=7.973 b=7.867 c=7.677 alpha=90.00 beta=111.70 gamma=90.00
Space group P2_1/c (No. 14)
Asymmetric unit:
Sm 0.000 0.000 0.000
Sm 0.303 0.181 0.434
Er 0.261 0.665 0.268
Ge 0.007 0.128 0.626
Ge 0.417 0.539 0.671

crystal system: monoclinic
energy of formation: -82.1 kJ/mol of atoms
DOS(E_F): 11.99 states/eV/cell